{"formula": "KCrO2F", "functional": "GGA+U", "state": "optimized geometry", "dft_energy_ev_per_atom": -3.98, "space_group": "P4/mmm", "m_tot_mub_per_atom": 0.40, "vol_a3_per_atom": 19.8, "cell": [[4.623, 0.000, 0.000], [0.000, 4.623, 0.000], [0.000, 0.000, 4.627]], "species": ["K", "Cr", "O", "O", "F"], "fractional_positions": [[0.000, 0.000, 0.000], [0.500, 0.500, 0.500], [0.000, 0.500, 0.000], [0.500, 0.000, 0.000], [0.000, 0.000, 0.500]]}